*one*
P2IrOs after structural relaxation, computed with PBE.

**D(E_F)**: 3.5 states/eV/f.u.
**Mass density**: 13.78 g/cm³
**Space-group type**: P4/mmm (123)
**M_tot**: 0.00 μB per formula unit

a = 3.006 Å, b = 3.006 Å, c = 5.925 Å
α = 90.00°, β = 90.00°, γ = 90.00°
Element x y z (fractional)
P 0.000 0.000 0.248
P 0.000 0.000 0.752
Ir 0.500 0.500 0.500
Os 0.500 0.500 0.000

***

*two*
P2IrOs after structural relaxation, computed with PBE.

**D(E_F)**: 4.6 states/eV/f.u.
**Mass density**: 13.77 g/cm³
**Space-group type**: Fm-3m (225)
**M_tot**: 0.00 μB per formula unit

a = 4.232 Å, b = 4.232 Å, c = 4.232 Å
α = 60.00°, β = 60.00°, γ = 60.00°
Element x y z (fractional)
P 0.250 0.250 0.250
P 0.750 0.750 0.750
Ir 0.000 0.000 0.000
Os 0.500 0.500 0.500

***

*three*
P2IrOs after structural relaxation, computed with PBE.

**D(E_F)**: 1.2 states/eV/f.u.
**Mass density**: 11.64 g/cm³
**Space-group type**: Cm (8)
**M_tot**: 0.00 μB per formula unit

a = 3.930 Å, b = 3.930 Å, c = 5.458 Å
α = 90.01°, β = 90.01°, γ = 48.76°
Element x y z (fractional)
P 0.000 0.000 0.000
P 0.501 0.501 0.505
Ir 0.814 0.814 0.351
Os 0.691 0.691 0.851

***

Short version: *two* is the least stable of them.

***

*one*
P2IrOs after structural relaxation, computed with PBE.

**D(E_F)**: 2.2 states/eV/f.u.
**Mass density**: 11.40 g/cm³
**Space-group type**: Cm (8)
**M_tot**: 0.00 μB per formula unit

a = 3.652 Å, b = 3.652 Å, c = 6.913 Å
α = 107.14°, β = 107.14°, γ = 47.88°
Element x y z (fractional)
P 0.000 0.000 0.000
P 0.121 0.121 0.348
Ir 0.240 0.240 0.832
Os 0.475 0.475 0.516

***

*two*
P2IrOs after structural relaxation, computed with PBE.

**D(E_F)**: 1.3 states/eV/f.u.
**Mass density**: 11.97 g/cm³
**Space-group type**: Amm2 (38)
**M_tot**: 0.00 μB per formula unit

a = 3.600 Å, b = 6.097 Å, c = 6.097 Å
α = 27.44°, β = 90.00°, γ = 90.00°
Element x y z (fractional)
P 0.000 0.000 0.000
P 0.500 0.225 0.225
Ir 0.000 0.346 0.346
Os 0.500 0.561 0.561

***

Short version: *one* is the least stable of them.

***

*one*
P2IrOs after structural relaxation, computed with PBE.

**D(E_F)**: 1.7 states/eV/f.u.
**Mass density**: 11.70 g/cm³
**Space-group type**: Amm2 (38)
**M_tot**: 0.00 μB per formula unit

a = 4.401 Å, b = 4.292 Å, c = 4.292 Å
α = 51.07°, β = 90.00°, γ = 90.00°
Element x y z (fractional)
P 0.000 0.000 0.000
P 0.500 0.189 0.189
Ir 0.500 0.867 0.867
Os 0.000 0.323 0.323

***

*two*
P2IrOs after structural relaxation, computed with PBE.

**D(E_F)**: 1.4 states/eV/f.u.
**Mass density**: 13.58 g/cm³
**Space-group type**: R-3m (166)
**M_tot**: 0.00 μB per formula unit

a = 7.585 Å, b = 7.585 Å, c = 7.585 Å
α = 22.14°, β = 22.14°, γ = 22.14°
Element x y z (fractional)
P 0.248 0.248 0.248
P 0.752 0.752 0.752
Ir 0.000 0.000 0.000
Os 0.500 0.500 0.500

***

*three*
P2IrOs after structural relaxation, computed with PBE.

**D(E_F)**: 3.3 states/eV/f.u.
**Mass density**: 12.00 g/cm³
**Space-group type**: P2/m (10)
**M_tot**: 0.00 μB per formula unit

a = 3.937 Å, b = 3.859 Å, c = 4.053 Å
α = 90.00°, β = 93.20°, γ = 90.00°
Element x y z (fractional)
P 0.180 0.000 0.308
P 0.820 0.000 0.692
Ir 0.500 0.500 0.500
Os 0.000 0.500 0.000

***

Short version: *three* is the least stable of them.

***

*one*
PIrOs after structural relaxation, computed with PBE.

**D(E_F)**: 2.2 states/eV/f.u.
**Mass density**: 16.85 g/cm³
**Space-group type**: I4mm (107)
**M_tot**: 0.00 μB per formula unit

a = 5.299 Å, b = 5.299 Å, c = 5.299 Å
α = 148.39°, β = 148.39°, γ = 45.31°
Element x y z (fractional)
P 0.000 0.000 0.000
Ir 0.345 0.345 0.000
Os 0.634 0.634 0.000

***

*two*
PIrOs after structural relaxation, computed with PBE.

**D(E_F)**: 2.2 states/eV/f.u.
**Mass density**: 16.61 g/cm³
**Space-group type**: P3m1 (156)
**M_tot**: 0.00 μB per formula unit

a = 2.838 Å, b = 2.838 Å, c = 5.924 Å
α = 90.00°, β = 90.00°, γ = 120.00°
Element x y z (fractional)
P 0.000 0.000 0.000
Ir 0.667 0.333 0.312
Os 0.333 0.667 0.708

***

*three*
PIrOs after structural relaxation, computed with PBE.

**D(E_F)**: 2.1 states/eV/f.u.
**Mass density**: 15.75 g/cm³
**Space-group type**: Fmm2 (42)
**M_tot**: 0.00 μB per formula unit

a = 6.661 Å, b = 6.328 Å, c = 2.878 Å
α = 83.76°, β = 70.80°, γ = 25.44°
Element x y z (fractional)
P 0.000 0.000 0.000
Ir 0.346 0.346 0.654
Os 0.645 0.645 0.355

***

*four*
PIrOs after structural relaxation, computed with PBE.

**D(E_F)**: 3.0 states/eV/f.u.
**Mass density**: 15.71 g/cm³
**Space-group type**: F-43m (216)
**M_tot**: 0.00 μB per formula unit

a = 3.953 Å, b = 3.953 Å, c = 3.953 Å
α = 60.00°, β = 60.00°, γ = 60.00°
Element x y z (fractional)
P 0.000 0.000 0.000
Ir 0.250 0.250 0.250
Os 0.750 0.750 0.750

***

Short version: *three* is the least stable of them.